NdAl3Pt6: relaxed, PBE.

The structure in POSCAR format:
```
NdAl3Pt6
1.0
11.449 -0.951 7.877
12.801 4.666 2.894
8.623 6.024 9.131
Al Pt Nd
12 24 4
direct
0.655 0.310 0.960
0.310 0.960 0.655
0.190 0.845 0.540
0.460 0.810 0.155
0.040 0.345 0.690
0.810 0.155 0.460
0.845 0.540 0.190
0.540 0.190 0.845
0.155 0.460 0.810
0.345 0.690 0.040
0.960 0.655 0.310
0.690 0.040 0.345
0.338 0.338 0.338
0.037 0.463 0.250
0.500 0.500 0.500
0.000 0.000 0.000
0.975 0.291 0.617
0.463 0.250 0.037
0.383 0.025 0.709
0.209 0.525 0.883
0.025 0.709 0.383
0.963 0.537 0.750
0.791 0.475 0.117
0.250 0.037 0.463
0.662 0.662 0.662
0.838 0.838 0.838
0.525 0.883 0.209
0.162 0.162 0.162
0.537 0.750 0.963
0.617 0.975 0.291
0.750 0.963 0.537
0.883 0.209 0.525
0.475 0.117 0.791
0.291 0.617 0.975
0.117 0.791 0.475
0.709 0.383 0.025
0.584 0.584 0.584
0.084 0.084 0.084
0.416 0.416 0.416
0.916 0.916 0.916
```

As for the crystal system: trigonal. For the raw total energy, the calculation gives -6.2812 eV/atom.